[1]
# Er2ThZn2Sn2 PBE-GGA relaxed
# Energy of formation   -0.294 eV/atom
# Total energy   -4.165 eV/atom
data_Er2ThZn2Sn2
_space_group_name_H-M_alt 'R -3 m'
_space_group_IT_number 166
_space_group_name_Hall '-R 3 2"'
_cell_length_a 4.5991
_cell_length_b 4.5991
_cell_length_c 29.2280
_cell_angle_alpha 90.00
_cell_angle_beta 90.00
_cell_angle_gamma 120.00
loop_
_atom_site_label
_atom_site_fract_x
_atom_site_fract_y
_atom_site_fract_z
Er1 0.0000 0.0000 0.1301
Th1 0.0000 0.0000 0.0000
Zn1 0.0000 0.0000 0.3882
Sn1 0.0000 0.0000 0.2551


[2]
# Er2TiSn PBE-GGA relaxed
# Energy of formation   -0.260 eV/atom
# Total energy   -5.516 eV/atom
data_Er2TiSn
_space_group_name_H-M_alt 'P 4/m m m'
_space_group_IT_number 123
_space_group_name_Hall '-P 4 2'
_cell_length_a 4.787
_cell_length_b 4.787
_cell_length_c 4.304
_cell_angle_alpha 90.00
_cell_angle_beta 90.00
_cell_angle_gamma 90.00
loop_
_atom_site_label
_atom_site_fract_x
_atom_site_fract_y
_atom_site_fract_z
Er1 0.000 0.500 0.000
Ti1 0.000 0.000 0.500
Sn1 0.500 0.500 0.500


[3]
# Er2TlSn PBE-GGA relaxed
# Energy of formation   -0.500 eV/atom
# Total energy   -4.374 eV/atom
data_Er2TlSn
_space_group_name_H-M_alt 'P 1 21/m 1'
_space_group_IT_number 11
_cell_length_a 6.126
_cell_length_b 4.294
_cell_length_c 8.821
_cell_angle_alpha 90.00
_cell_angle_beta 108.01
_cell_angle_gamma 90.00
loop_
_space_group_symop_operation_xyz
'x,y,z'
'-x,-y,-z'
'-x,y+1/2,-z'
'x,-y+1/2,z'
loop_
_atom_site_label
_atom_site_fract_x
_atom_site_fract_y
_atom_site_fract_z
Er1 0.190 0.250 0.427
Er2 0.295 0.750 0.066
Tl1 0.395 0.750 0.697
Sn1 0.120 0.250 0.798


[4]
# Er5Tl2Sn PBE-GGA relaxed
# Energy of formation   -0.398 eV/atom
# Total energy   -4.342 eV/atom
data_Er5Tl2Sn
_space_group_name_H-M_alt 'I 4/m c m'
_space_group_IT_number 140
_space_group_name_Hall '-I 4 2c'
_cell_length_a 8.092
_cell_length_b 8.092
_cell_length_c 13.712
_cell_angle_alpha 90.00
_cell_angle_beta 90.00
_cell_angle_gamma 90.00
loop_
_atom_site_label
_atom_site_fract_x
_atom_site_fract_y
_atom_site_fract_z
Er1 0.000 0.000 0.000
Er2 0.156 0.344 0.153
Tl1 0.140 0.360 0.500
Sn1 0.000 0.000 0.250


[5]
# Er2TlSn PBE-GGA relaxed
# Energy of formation   -0.371 eV/atom
# Total energy   -4.245 eV/atom
data_Er2TlSn
_space_group_name_H-M_alt 'R -3 m'
_space_group_IT_number 166
_space_group_name_Hall '-R 3 2"'
_cell_length_a 3.7522
_cell_length_b 3.7522
_cell_length_c 27.8485
_cell_angle_alpha 90.00
_cell_angle_beta 90.00
_cell_angle_gamma 120.00
loop_
_atom_site_label
_atom_site_fract_x
_atom_site_fract_y
_atom_site_fract_z
Er1 0.0000 0.0000 0.2484
Tl1 0.0000 0.0000 0.0000
Sn1 0.0000 0.0000 0.5000


[6]
# Er6Tl5Sn PBE-GGA relaxed
# Energy of formation   -0.292 eV/atom
# Total energy   -3.893 eV/atom
data_Er6Tl5Sn
_space_group_name_H-M_alt 'C 1 2/m 1'
_space_group_IT_number 12
_cell_length_a 6.462
_cell_length_b 11.005
_cell_length_c 9.802
_cell_angle_alpha 90.00
_cell_angle_beta 101.81
_cell_angle_gamma 90.00
loop_
_space_group_symop_operation_xyz
'x,y,z'
'-x,-y,-z'
'-x,y,-z'
'x,-y,z'
'x+1/2,y+1/2,z'
'-x+1/2,-y+1/2,-z'
'-x+1/2,y+1/2,-z'
'x+1/2,-y+1/2,z'
loop_
_atom_site_label
_atom_site_fract_x
_atom_site_fract_y
_atom_site_fract_z
Er1 0.245 0.000 0.250
Er2 0.249 0.165 0.750
Tl1 0.000 0.168 0.000
Tl2 0.000 0.334 0.500
Tl3 0.000 0.500 0.000
Sn1 0.000 0.000 0.500


[7]
# Er6Tl5Sn PBE-GGA relaxed
# Energy of formation   -0.353 eV/atom
# Total energy   -3.954 eV/atom
data_Er6Tl5Sn
_space_group_name_H-M_alt 'I m m m'
_space_group_IT_number 71
_space_group_name_Hall '-I 2 2'
_cell_length_a 5.345
_cell_length_b 7.460
_cell_length_c 16.063
_cell_angle_alpha 90.00
_cell_angle_beta 90.00
_cell_angle_gamma 90.00
loop_
_atom_site_label
_atom_site_fract_x
_atom_site_fract_y
_atom_site_fract_z
Er1 0.000 0.244 0.000
Er2 0.000 0.253 0.335
Tl1 0.000 0.000 0.173
Tl2 0.000 0.000 0.500
Tl3 0.000 0.500 0.165
Sn1 0.000 0.500 0.500


[8]
# Er2TlSn PBE-GGA relaxed
# Energy of formation   -0.379 eV/atom
# Total energy   -4.253 eV/atom
data_Er2TlSn
_space_group_name_H-M_alt 'P n m a'
_space_group_IT_number 62
_cell_length_a 8.751
_cell_length_b 3.611
_cell_length_c 14.622
_cell_angle_alpha 90.00
_cell_angle_beta 90.00
_cell_angle_gamma 90.00
loop_
_space_group_symop_operation_xyz
'x,y,z'
'-x,-y,-z'
'-x+1/2,-y,z+1/2'
'x+1/2,y,-z+1/2'
'x+1/2,-y+1/2,-z+1/2'
'-x+1/2,y+1/2,z+1/2'
'-x,y+1/2,-z'
'x,-y+1/2,z'
loop_
_atom_site_label
_atom_site_fract_x
_atom_site_fract_y
_atom_site_fract_z
Er1 0.199 0.250 0.001
Er2 0.207 0.750 0.760
Tl1 0.028 0.250 0.405
Sn1 0.048 0.750 0.152